No. 1
Computed, not measured: a relaxed BaCuP2Cl crystal at the GGA-PBE level of DFT.

The structure in POSCAR format:
```
BaCuP2Cl
1.0
6.393 0.000 0.000
0.000 6.393 0.000
0.000 0.000 5.817
P Ba Cu Cl
2 1 1 1
Direct
0.000 0.500 0.000 P
0.500 0.000 0.000 P
0.000 0.000 0.000 Ba
0.500 0.500 0.500 Cu
0.000 0.000 0.500 Cl
```

crystal system: tetragonal
E: -2.869 eV per atom
uncorrected formation energy: 0.87 eV/atom
energy above the most stable polymorph in this dataset: 1365 meV per atom

=====

No. 2
Computed, not measured: a relaxed SrFeRu crystal at the GGA-PBE level of DFT.

The structure in POSCAR format:
```
SrFeRu
1.0
4.184 0.303 -0.183
1.832 3.778 0.006
-1.743 0.810 10.144
Sr Fe Ru
2 2 2
Direct
0.404 0.758 0.248 Sr
0.326 0.294 0.634 Sr
0.170 0.873 0.900 Fe
0.942 0.489 0.055 Fe
0.786 0.565 0.824 Ru
0.564 0.177 0.990 Ru
```

crystal system: monoclinic
E: -6.137 eV per atom
energy above the most stable polymorph in this dataset: 53 meV per atom
DFT formation energy: 0.34 eV per atom

=====

No. 3
Computed, not measured: a relaxed Ag2TeP crystal at the GGA-PBE level of DFT.

The structure in POSCAR format:
```
Ag2TeP
1.0
4.174 -0.007 -0.018
-2.071 5.415 -0.055
0.032 1.565 3.743
Ag P Te
2 1 1
Direct
0.000 0.000 0.000 Ag
0.500 0.000 0.500 Ag
0.000 0.500 0.500 P
0.500 0.500 0.000 Te
```

crystal system: monoclinic
E: -3.262 eV per atom
uncorrected formation energy: 0.30 eV/atom
energy above the most stable polymorph in this dataset: 99 meV per atom

=====

No. 4
Computed, not measured: a relaxed MgTeOs2 crystal at the GGA-PBE level of DFT.

The structure in POSCAR format:
```
MgTeOs2
1.0
7.620 0.000 0.000
0.000 7.620 0.000
3.810 3.810 2.707
Mg Te Os
2 2 4
Direct
0.500 0.500 0.000 Mg
0.250 0.750 0.500 Mg
0.000 0.000 0.000 Te
0.750 0.250 0.500 Te
0.677 0.125 0.250 Os
0.073 0.625 0.250 Os
0.375 0.323 0.750 Os
0.875 0.927 0.750 Os
```

crystal system: tetragonal
E: -5.752 eV per atom
uncorrected formation energy: 1.05 eV/atom
energy above the most stable polymorph in this dataset: 779 meV per atom

=====

No. 5
Computed, not measured: a relaxed LaIrW2 crystal at the GGA-PBE level of DFT.

The structure in POSCAR format:
```
LaIrW2
1.0
-0.290 -3.708 7.025
7.944 -0.120 0.265
3.821 0.498 4.918
Ir W La
2 4 2
Direct
0.000 0.000 0.000 Ir
0.750 0.250 0.500 Ir
0.684 0.125 0.250 W
0.066 0.625 0.250 W
0.375 0.316 0.750 W
0.875 0.934 0.750 W
0.500 0.500 0.000 La
0.250 0.750 0.500 La
```

crystal system: tetragonal
E: -9.169 eV per atom
energy above the most stable polymorph in this dataset: 540 meV per atom
DFT formation energy: 0.75 eV per atom

=====

No. 6
Computed, not measured: a relaxed KTl5Cd3 crystal at the GGA-PBE level of DFT.

The structure in POSCAR format:
```
KTl5Cd3
1.0
3.435 0.000 0.000
-1.718 8.779 0.000
0.000 0.000 18.261
K Tl Cd
2 10 6
Direct
0.812 0.624 0.750 K
0.188 0.376 0.250 K
0.827 0.655 0.410 Tl
0.173 0.345 0.910 Tl
0.000 0.000 0.500 Tl
0.000 0.000 0.000 Tl
0.507 0.013 0.160 Tl
0.493 0.987 0.840 Tl
0.493 0.987 0.660 Tl
0.827 0.655 0.090 Tl
0.173 0.345 0.590 Tl
0.507 0.013 0.340 Tl
0.344 0.688 0.938 Cd
0.876 0.752 0.250 Cd
0.344 0.688 0.562 Cd
0.656 0.312 0.438 Cd
0.124 0.248 0.750 Cd
0.656 0.312 0.062 Cd
```

crystal system: orthorhombic
E: -1.724 eV per atom
DFT formation energy: 0.02 eV per atom

=====

No. 7
Computed, not measured: a relaxed Ca2GePt2 crystal at the GGA-PBE level of DFT.

The structure in POSCAR format:
```
Ca2GePt2
1.0
5.696 0.000 0.000
0.000 5.696 0.000
2.848 2.848 3.716
Ge Ca Pt
1 2 2
Direct
0.000 0.000 0.000 Ge
0.750 0.250 0.500 Ca
0.250 0.750 0.500 Ca
0.324 0.324 0.352 Pt
0.676 0.676 0.648 Pt
```

crystal system: tetragonal
E: -4.817 eV per atom
energy above the most stable polymorph in this dataset: 287 meV per atom
DFT formation energy: -0.68 eV per atom

=====

No. 8
Computed, not measured: a relaxed SrTcNiSbH crystal at the GGA-PBE level of DFT.

The structure in POSCAR format:
```
SrTcNiSbH
1.0
-1.583 -3.417 -3.133
2.837 -2.694 1.504
-2.303 0.159 4.629
Sr Tc Ni Sb H
1 1 1 1 1
Direct
0.106 0.000 0.680 Sr
0.752 0.500 0.908 Tc
0.710 0.000 0.096 Ni
0.478 0.500 0.289 Sb
0.373 0.500 0.722 H
```

crystal system: monoclinic
E: -5.035 eV per atom
energy above the most stable polymorph in this dataset: 247 meV per atom

=====

No. 9
Computed, not measured: a relaxed SiSb2TeP crystal at the GGA-PBE level of DFT.

The structure in POSCAR format:
```
SiSb2TeP
1.0
-3.263 0.688 3.894
-3.938 -0.116 -3.280
-0.365 -5.266 0.625
Sb Si Te P
2 1 1 1
Direct
0.000 0.500 0.000 Sb
0.500 0.000 0.000 Sb
0.500 0.500 0.500 Si
0.000 0.000 0.500 Te
0.000 0.000 0.000 P
```

crystal system: tetragonal
E: -3.601 eV per atom
uncorrected formation energy: 0.84 eV/atom
energy above the most stable polymorph in this dataset: 0 meV per atom

=====

No. 10
Computed, not measured: a relaxed CeY2Sc crystal at the GGA-PBE level of DFT.

The structure in POSCAR format:
```
CeY2Sc
1.0
3.361 0.000 0.000
1.680 2.910 0.000
1.680 0.970 12.049
Y Sc Ce
2 1 1
Direct
0.091 0.091 0.727 Y
0.909 0.909 0.273 Y
0.500 0.500 0.500 Sc
0.000 0.000 0.000 Ce
```

crystal system: trigonal
E: -6.111 eV per atom
energy above the most stable polymorph in this dataset: 124 meV per atom
DFT formation energy: 0.19 eV per atom